VASP calculation (PBE-GGA) on La2Pm2NdEr after structural relaxation.

Structure (POSCAR):
```
La2Pm2NdEr
1.0
-2.7999 -2.1911 4.5750
5.9503 -3.4365 1.9958
2.7399 7.9210 5.4704
Pm La Nd Er
4 4 2 2
Direct
0.0000 0.7577 0.1652
0.5000 0.7576 0.6671
0.0000 0.2577 0.8348
0.5000 0.2576 0.3329
0.5000 0.0076 0.0001
0.0000 0.2575 0.1766
0.5000 0.5076 0.9999
0.0000 0.7575 0.8234
0.5000 0.2576 0.6586
0.5000 0.7576 0.3414
0.0000 0.0076 0.5001
0.0000 0.5076 0.4999
```

Results
Fermi-level density of states   1.60 states/eV/atom
Magnetization   0.00 μB per formula unit
ΔH_f (0 K)   0.0516 eV/atom


VASP calculation (PBE-GGA) on LaRe after structural relaxation.

Structure (POSCAR):
```
LaRe
1.0
-0.6983 2.8426 1.1196
-3.8760 -1.1663 0.5439
1.2517 -0.2440 8.3969
La Re
2 2
Direct
0.2991 0.5000 0.3292
0.9509 0.0000 0.9208
0.7540 0.5000 0.6767
0.4960 0.0000 0.5733
```

Results
Fermi-level density of states   1.31 states/eV/atom
Magnetization   0.00 μB per formula unit
Excess energy over the best structure of this formula in the dataset   0.161 eV per atom
ΔH_f (0 K)   0.3123 eV/atom